Entry 1:
## LiGaHgBr4 (GGA-PBE)

Data for a geometry-optimized LiGaHgBr4 structure.

Properties
- Crystal system: monoclinic

abc: 12.842 9.854 11.115
angles: 90.00 123.53 90.00
Space group C2/m (No. 12)
One atom of each set of equivalent atoms:
Li 0.173 0.000 0.016 [4 per cell]
Ga 0.167 0.000 0.304 [4 per cell]
Hg 0.076 0.500 0.919 [4 per cell]
Br 0.040 0.000 0.746 [4 per cell]
Br 0.184 0.500 0.451 [4 per cell]
Br 0.185 0.188 0.179 [8 per cell]

---

Entry 2:
## KYTeI2 (GGA-PBE)

Data for a geometry-optimized KYTeI2 structure.

Properties
- Energy above the lowest structure with this stoichiometry: 1200 meV per atom
- Crystal system: tetragonal

abc: 5.884 5.884 6.281
angles: 90.00 90.00 90.00
Space group P4/mmm (No. 123)
One atom of each set of equivalent atoms:
K 0.000 0.000 0.000 [1 per cell]
Y 0.500 0.500 0.500 [1 per cell]
Te 0.000 0.000 0.500 [1 per cell]
I 0.000 0.500 0.000 [2 per cell]

---

Entry 3:
## Mg4HIr (GGA-PBE)

Data for a geometry-optimized Mg4HIr structure.

Properties
- Energy above the lowest structure with this stoichiometry: 86 meV per atom
- Crystal system: monoclinic

abc: 8.142 12.767 5.753
angles: 90.00 134.27 90.00
Space group C2/c (No. 15)
One atom of each set of equivalent atoms:
Mg 0.138 0.203 0.108 [8 per cell]
Mg 0.221 0.452 0.333 [8 per cell]
H 0.000 0.125 0.250 [4 per cell]
Ir 0.000 0.376 0.750 [4 per cell]

---

| no. | uncorrected energy (eV/atom) |
| --- | --- |
| 1 | -2.588 |
| 2 | -2.817 |
| 3 | -3.288 |